No. 1
# LiPrTh, optimized geometry, DFT PBE
# Calculated formation energy ... 0.04 eV per atom
# Space-group type ... No. 129
# Density of states at the Fermi level ... 8.13 states/eV/cell
data_LiPrTh
_cell_length_a 3.640
_cell_length_b 3.640
_cell_length_c 13.309
_cell_angle_alpha 90.00
_cell_angle_beta 90.00
_cell_angle_gamma 90.00
_space_group_name_H-M_alt 'P 1'
_space_group_IT_number 1
_space_group_name_Hall 'P 1'
loop_
_atom_site_label
_atom_site_type_symbol
_atom_site_fract_x
_atom_site_fract_y
_atom_site_fract_z
Th1 Th 0.500 0.000 0.411
Th2 Th 0.000 0.500 0.589
Li1 Li 0.000 0.500 0.950
Li2 Li 0.500 0.000 0.050
Pr1 Pr 0.000 0.500 0.223
Pr2 Pr 0.500 0.000 0.777



No. 2
# LiPrTh, optimized geometry, DFT PBE
# Calculated formation energy ... 0.14 eV per atom
# Space-group type ... No. 107
# Density of states at the Fermi level ... 3.61 states/eV/cell
data_LiPrTh
_cell_length_a 3.689
_cell_length_b 3.689
_cell_length_c 7.026
_cell_angle_alpha 105.22
_cell_angle_beta 105.22
_cell_angle_gamma 90.00
_space_group_name_H-M_alt 'P 1'
_space_group_IT_number 1
_space_group_name_Hall 'P 1'
loop_
_atom_site_label
_atom_site_type_symbol
_atom_site_fract_x
_atom_site_fract_y
_atom_site_fract_z
Li1 Li 0.665 0.665 0.330
Pr1 Pr 0.325 0.325 0.649
Th1 Th 0.010 0.010 0.021